1.
DFT (GGA-PBEsol) results for TcAg2Hg after structural relaxation.

Computed properties:
ΔH_f (0 K)   0.49 eV/atom

Cell lengths 2.807, 4.863, 4.912 Å; angles 90.00, 90.00, 90.00 degrees
Atoms (fractional coordinates):
Ag: 0.000 0.000 0.000
Ag: 0.500 0.500 0.000
Hg: 0.500 0.000 0.500
Tc: 0.000 0.500 0.500

---

2.
DFT (GGA-PBEsol) results for SiAsCBr2 after structural relaxation.

Computed properties:
ΔE_f (raw)   1231 meV per atom

Cell lengths 4.498, 4.491, 4.491 Å; angles 90.00, 90.00, 90.00 degrees
Atoms (fractional coordinates):
C: 0.000 0.000 0.000
As: 0.500 0.000 0.000
Si: 0.500 0.500 0.500
Br: 0.000 0.000 0.500
Br: 0.000 0.500 0.000

---

3.
DFT (GGA-PBEsol) results for ZnP after structural relaxation.

Computed properties:
ΔH_f (0 K)   -0.03 eV/atom

Cell lengths 3.998, 3.998, 6.005 Å; angles 70.56, 70.56, 60.00 degrees
Atoms (fractional coordinates):
P: 0.068 0.068 0.797
P: 0.932 0.932 0.203
Zn: 0.419 0.419 0.742
Zn: 0.581 0.581 0.258

---

4.
DFT (GGA-PBEsol) results for CaTcHg2 after structural relaxation.

Computed properties:
ΔH_f (0 K)   0.28 eV/atom

Cell lengths 4.191, 4.191, 5.377 Å; angles 112.94, 112.94, 90.00 degrees
Last column: magnetic moment on the atom in μB.
Atoms (fractional coordinates):
Ca: 0.250 0.750 0.500  0.01
Hg: 0.000 0.000 0.000  -0.02
Hg: 0.750 0.250 0.500  -0.01
Tc: 0.500 0.500 0.000  0.97

---

5.
DFT (GGA-PBEsol) results for CaZrTa after structural relaxation.

Computed properties:
ΔH_f (0 K)   0.43 eV/atom

Cell lengths 3.046, 3.046, 7.998 Å; angles 98.17, 98.17, 104.67 degrees
Atoms (fractional coordinates):
Ca: 0.009 0.009 0.019
Zr: 0.313 0.313 0.625
Ta: 0.678 0.678 0.356

---

6.
DFT (GGA-PBEsol) results for TaIn2As after structural relaxation.

Computed properties:
ΔH_f (0 K)   0.28 eV/atom

Cell lengths 3.987, 3.984, 5.660 Å; angles 110.60, 110.62, 90.00 degrees
Atoms (fractional coordinates):
As: 0.000 0.500 0.000
In: 0.750 0.750 0.500
In: 0.250 0.250 0.500
Ta: 0.500 0.000 0.000

---

| no. | energy (eV per atom) | magnetization (Bohr magnetons per cell) |
| --- | --- | --- |
| 1 | -4.1284 | 0.004 |
| 2 | -3.6168 | 0.000 |
| 3 | -3.7126 | 0.000 |
| 4 | -3.3504 | 1.017 |
| 5 | -7.4947 | 0.000 |
| 6 | -5.6253 | 0.000 |